Density functional theory data (PBE-GGA) for a relaxed structure of BaBe2Rh.

Calculated values
Calculated formation energy (eV/atom): 0.02
Volume (Å³ per cell): 348.2
Total energy (eV/atom): -4.160
Distance to the lowest polymorph of the same formula (eV/f.u.): 0.85

The structure in CIF format:
```
data_BaBe2Rh
_space_group_name_H-M_alt 'I 41/a m d'
_space_group_IT_number 141
_cell_length_a 4.8486
_cell_length_b 4.8486
_cell_length_c 14.8116
_cell_angle_alpha 90.00
_cell_angle_beta 90.00
_cell_angle_gamma 90.00
loop_
_space_group_symop_operation_xyz
'x,y,z'
'-x,-y,-z'
'-y+1/4,x+3/4,z+1/4'
'y+1/4,-x+3/4,-z+1/4'
'-x+1/2,-y,z+1/2'
'x+1/2,y,-z+1/2'
'y+1/4,-x+1/4,z+3/4'
'-y+1/4,x+1/4,-z+3/4'
'x,-y,-z'
'-x,y,z'
'-y+1/4,-x+1/4,-z+3/4'
'y+1/4,x+1/4,z+3/4'
'-x+1/2,y,-z+1/2'
'x+1/2,-y,z+1/2'
'y+1/4,x+3/4,-z+1/4'
'-y+1/4,-x+3/4,z+1/4'
'x+1/2,y+1/2,z+1/2'
'-x+1/2,-y+1/2,-z+1/2'
'-y+3/4,x+1/4,z+3/4'
'y+3/4,-x+1/4,-z+3/4'
'-x,-y+1/2,z'
'x,y+1/2,-z'
'y+3/4,-x+3/4,z+1/4'
'-y+3/4,x+3/4,-z+1/4'
'x+1/2,-y+1/2,-z+1/2'
'-x+1/2,y+1/2,z+1/2'
'-y+3/4,-x+3/4,-z+1/4'
'y+3/4,x+3/4,z+1/4'
'-x,y+1/2,-z'
'x,-y+1/2,z'
'y+3/4,x+1/4,-z+3/4'
'-y+3/4,-x+1/4,z+3/4'
loop_
_atom_site_label
_atom_site_type_symbol
_atom_site_fract_x
_atom_site_fract_y
_atom_site_fract_z
Ba1 Ba 0.0000 0.2500 0.3750
Be1 Be 0.0000 0.0000 0.0000
Rh1 Rh 0.0000 0.2500 0.8750
```